# 1
# NdMgSc

Crystalline NdMgSc at its relaxed geometry (PBE, the Alexandria database).

## Properties
- Excess energy over the best structure of this formula in the dataset: 0.24 eV per formula unit
- Symmetry: P3m1 (156)
- Formation energy: 0.06 eV per atom

The structure in POSCAR format:
```
NdMgSc
1.0
3.344 0.000 0.000
0.000 5.356 0.000
0.000 -2.678 4.639
Sc Mg Nd
1 1 1
Direct
0.098 0.000 0.000
0.253 0.333 0.667
0.650 0.667 0.333
```

---

# 2
# SmMgAgPd

Crystalline SmMgAgPd at its relaxed geometry (PBE, the Alexandria database).

## Properties
- Symmetry: Cm (8)
- Formation energy: -0.51 eV per atom

The structure in POSCAR format:
```
SmMgAgPd
1.0
4.700 0.000 0.000
0.000 5.256 0.386
-2.350 -2.353 3.332
Sm Mg Ag Pd
1 1 1 1
Direct
0.998 0.995 0.997
0.507 0.522 0.015
0.776 0.326 0.551
0.219 0.656 0.437
```

---

# 3
# FeSiSb2I

Crystalline FeSiSb2I at its relaxed geometry (PBE, the Alexandria database).

## Properties
- Excess energy over the best structure of this formula in the dataset: 4.57 eV per formula unit
- Symmetry: P4/mmm (123)
- Formation energy without anion corrections: 1665 meV/atom

The structure in POSCAR format:
```
FeSiSb2I
1.0
5.847 0.000 0.000
0.000 4.543 0.000
0.000 0.000 5.847
I Sb Si Fe
1 2 1 1
Direct
0.000 0.000 0.000
0.000 0.000 0.500
0.500 0.000 0.000
0.500 0.500 0.500
0.000 0.500 0.000
```

---

# 4
# MgOs2W

Crystalline MgOs2W at its relaxed geometry (PBE, the Alexandria database).

## Properties
- Symmetry: Cmm2 (35)
- Formation energy: 0.46 eV per atom

The structure in POSCAR format:
```
MgOs2W
1.0
-0.498 2.655 -0.324
-0.121 -1.462 -2.291
-9.059 -1.521 1.448
Mg Os W
1 2 1
Direct
0.500 0.500 0.757
0.000 0.000 0.004
0.500 0.500 0.249
0.000 0.000 0.490
```

---

# 5
# BeTc2P

Crystalline BeTc2P at its relaxed geometry (PBE, the Alexandria database).

## Properties
- Excess energy over the best structure of this formula in the dataset: 0.66 eV per formula unit
- Symmetry: Fm-3m (225)
- Formation energy: -0.26 eV per atom

The structure in POSCAR format:
```
BeTc2P
1.0
0.000 2.876 2.876
2.876 0.000 2.876
2.876 2.876 0.000
P Tc Be
1 2 1
Direct
0.500 0.500 0.500
0.250 0.250 0.250
0.750 0.750 0.750
0.000 0.000 0.000
```

---

# 6
# NiAgCl3

Crystalline NiAgCl3 at its relaxed geometry (PBE, the Alexandria database).

## Properties
- Excess energy over the best structure of this formula in the dataset: 4.13 eV per formula unit
- Symmetry: Pm-3m (221)
- Formation energy without anion corrections: 332 meV/atom

The structure in POSCAR format:
```
NiAgCl3
1.0
5.018 0.000 0.000
0.000 5.018 0.000
0.000 0.000 5.018
Ni Ag Cl
1 1 3
Direct
0.500 0.500 0.500
0.000 0.000 0.000
0.000 0.500 0.000
0.000 0.000 0.500
0.500 0.000 0.000
```

---

Number 1: calculated volume 83 Å³/cell, ρ 4.267 g cm⁻³, size of the total moment 0.00 μB per cell. Number 2: calculated volume 87 Å³/cell, ρ 7.459 g cm⁻³, size of the total moment 0.00 μB per cell. Number 3: calculated volume 155 Å³/cell, ρ 4.858 g cm⁻³, size of the total moment 0.18 μB per cell. Number 4: calculated volume 63 Å³/cell, ρ 15.616 g cm⁻³, size of the total moment 0.00 μB per cell. Number 5: calculated volume 48 Å³/cell, ρ 8.239 g cm⁻³, size of the total moment 0.00 μB per cell. Number 6: calculated volume 126 Å³/cell, ρ 3.587 g cm⁻³, size of the total moment 1.09 μB per cell.